Entry from Alexandria: a relaxed structure of TiCrTcPd2 (PBE).

* size of the total moment: 2.4 μB per cell
* energy relative to the elements: 18.82 kcal/mol of atoms

a b c (Å): 4.6144 4.2946 4.6144
angles (deg): 90.00 90.00 90.00
Last column: nearest neighbours and their distance in Å.
Sites, in units of the cell vectors:
1 Pd 0.5000 0.0000 0.0000  2 Cr 2.31
2 Pd 0.0000 0.0000 0.5000  2 Cr 2.31
3 Cr 0.0000 0.0000 0.0000  2 Tc 2.15, 4 Pd 2.31
4 Tc 0.0000 0.5000 0.0000  2 Cr 2.15
5 Ti 0.5000 0.5000 0.5000  8 Pd 3.15, 4 Tc 3.26

Entry from Alexandria: a relaxed structure of CrTe3Pd12 (PBE).

* E_tot: -5.235 eV/atom
* size of the total moment: 3.7 μB per cell

a b c (Å): 4.0547 4.0547 16.1446
angles (deg): 90.00 90.00 90.00
Last column: nearest neighbours and their distance in Å.
Sites, in units of the cell vectors:
1 Pd 0.0000 0.5000 0.8823  2 Cr 2.78, 8 Pd 2.78-2.93, 2 Te 2.81
2 Pd 0.0000 0.5000 0.3736  8 Pd 2.86-2.88, 4 Te 2.88-2.98
3 Pd 0.0000 0.5000 0.1177  2 Cr 2.78, 8 Pd 2.78-2.93, 2 Te 2.81
4 Pd 0.0000 0.5000 0.6264  8 Pd 2.86-2.88, 4 Te 2.88-2.98
5 Pd 0.5000 0.0000 0.8823  2 Cr 2.78, 8 Pd 2.78-2.93, 2 Te 2.81
6 Pd 0.5000 0.5000 0.0000  8 Pd 2.78, 4 Cr 2.87
7 Pd 0.5000 0.5000 0.2487  8 Pd 2.86-2.93, 4 Te 2.87
8 Pd 0.5000 0.5000 0.7513  8 Pd 2.86-2.93, 4 Te 2.87
9 Pd 0.5000 0.5000 0.5000  4 Te 2.87, 8 Pd 2.88
10 Pd 0.5000 0.0000 0.3736  8 Pd 2.86-2.88, 4 Te 2.88-2.98
11 Pd 0.5000 0.0000 0.1177  8 Pd 2.78-2.93, 2 Cr 2.78, 2 Te 2.81
12 Pd 0.5000 0.0000 0.6264  8 Pd 2.86-2.88, 4 Te 2.88-2.98
13 Cr 0.0000 0.0000 0.0000  12 Pd 2.78-2.87
14 Te 0.0000 0.0000 0.7617  12 Pd 2.81-2.98
15 Te 0.0000 0.0000 0.5000  12 Pd 2.87-2.88
16 Te 0.0000 0.0000 0.2383  12 Pd 2.81-2.98